1.
YV2Ru2 | PBE-GGA | optimized geometry

a = 5.671 Å, b = 5.671 Å, c = 5.671 Å
α = 135.62°, β = 135.62°, γ = 64.57°
Atoms (fractional coordinates):
Y 0.000 0.000 0.000
V 0.372 0.372 0.000
V 0.628 0.628 0.000
Ru 0.250 0.750 0.500
Ru 0.750 0.250 0.500

Distance to the lowest polymorph of the same formula, meV/atom: 130
D(E_F), states/eV/f.u.: 4.9
Energy of formation, eV/atom: -0.1251
Space-group type: I4/mmm, No. 139


2.
DyY6Tm3Sc2 | PBE-GGA | optimized geometry

a = 6.062 Å, b = 6.062 Å, c = 11.582 Å
α = 95.00°, β = 95.00°, γ = 119.95°
Atoms (fractional coordinates):
Dy 0.000 0.000 0.000
Y 0.083 0.418 0.246
Y 0.253 0.253 0.754
Y 0.418 0.083 0.246
Y 0.582 0.917 0.754
Y 0.747 0.747 0.246
Y 0.917 0.582 0.754
Tm 0.167 0.833 0.500
Tm 0.500 0.500 0.500
Tm 0.833 0.167 0.500
Sc 0.333 0.667 0.000
Sc 0.667 0.333 0.000

D(E_F), states/eV/f.u.: 18.9
Energy of formation, eV/atom: 0.0462
Space-group type: C2/m, No. 12


3.
MgGaCuW2 | PBE-GGA | optimized geometry

a = 4.647 Å, b = 4.647 Å, c = 4.629 Å
α = 90.00°, β = 90.00°, γ = 90.00°
Atoms (fractional coordinates):
Mg 0.000 0.000 0.000
Ga 0.000 0.000 0.500
Cu 0.500 0.500 0.000
W 0.000 0.500 0.500
W 0.500 0.000 0.500

D(E_F), states/eV/f.u.: 8.1
Energy of formation, eV/atom: 1.7045
Space-group type: P4/mmm, No. 123


4.
MnTlI3 | PBE-GGA | optimized geometry

a = 5.748 Å, b = 5.748 Å, c = 5.748 Å
α = 90.00°, β = 90.00°, γ = 90.00°
Atoms (fractional coordinates):
Mn 0.000 0.000 0.000
Tl 0.500 0.500 0.500
I 0.000 0.000 0.500
I 0.000 0.500 0.000
I 0.500 0.000 0.000

E_form (uncorrected), eV/atom: -0.416
Distance to the lowest polymorph of the same formula, meV/atom: 97
D(E_F), states/eV/f.u.: 0.0
Space-group type: Pm-3m, No. 221


5.
LiZrTiMn | PBE-GGA | optimized geometry

a = 4.432 Å, b = 4.432 Å, c = 4.432 Å
α = 60.00°, β = 60.00°, γ = 60.00°
Atoms (fractional coordinates):
Li 0.000 0.000 0.000
Zr 0.750 0.750 0.750
Ti 0.250 0.250 0.250
Mn 0.500 0.500 0.500

D(E_F), states/eV/f.u.: 4.3
Energy of formation, eV/atom: 0.0587
Space-group type: F-43m, No. 216


6.
BaNa2Eu | PBE-GGA | optimized geometry

a = 4.534 Å, b = 4.534 Å, c = 9.096 Å
α = 90.00°, β = 90.00°, γ = 90.00°
Atoms (fractional coordinates):
Ba 0.000 0.000 0.000
Na 0.500 0.500 0.267
Na 0.500 0.500 0.733
Eu 0.000 0.000 0.500

Distance to the lowest polymorph of the same formula, meV/atom: 6
D(E_F), states/eV/f.u.: 3.9
Energy of formation, eV/atom: 0.0686
Space-group type: P4/mmm, No. 123


7.
HfMn2HOs | PBE-GGA | optimized geometry

a = 3.867 Å, b = 3.867 Å, c = 4.080 Å
α = 90.00°, β = 90.00°, γ = 90.00°
Atoms (fractional coordinates):
Hf 0.000 0.000 0.000
Mn 0.000 0.500 0.500
Mn 0.500 0.000 0.500
H 0.500 0.500 0.500
Os 0.500 0.500 0.000

Distance to the lowest polymorph of the same formula, meV/atom: 27
D(E_F), states/eV/f.u.: 3.7
Space-group type: P4/mmm, No. 123


8.
LaAl2Cl | PBE-GGA | optimized geometry

a = 3.341 Å, b = 3.341 Å, c = 9.527 Å
α = 90.00°, β = 90.00°, γ = 116.65°
Atoms (fractional coordinates):
La 0.000 0.000 0.000
Al 0.500 0.500 0.276
Al 0.500 0.500 0.724
Cl 0.000 0.000 0.500

E_form (uncorrected), eV/atom: -0.099
Distance to the lowest polymorph of the same formula, meV/atom: 591
D(E_F), states/eV/f.u.: 2.1
Space-group type: Cmmm, No. 65


9.
VCl2 | PBE-GGA | optimized geometry

a = 3.650 Å, b = 3.650 Å, c = 6.270 Å
α = 90.00°, β = 90.00°, γ = 120.00°
Atoms (fractional coordinates):
V 0.000 0.000 0.000
Cl 0.333 0.667 0.212
Cl 0.667 0.333 0.788

E_form (uncorrected), eV/atom: -1.130
Space-group type: P-3m1, No. 164


10.
MgBiIO6 | PBE-GGA | optimized geometry

a = 5.288 Å, b = 5.288 Å, c = 4.970 Å
α = 90.00°, β = 90.00°, γ = 120.00°
Atoms (fractional coordinates):
Mg 0.000 0.000 0.000
Bi 0.667 0.333 0.500
I 0.333 0.667 0.000
O 0.045 0.358 0.216
O 0.045 0.688 0.784
O 0.312 0.358 0.784
O 0.312 0.955 0.216
O 0.642 0.688 0.216
O 0.642 0.955 0.784

E_form (uncorrected), eV/atom: -1.159
D(E_F), states/eV/f.u.: 0.0
Space-group type: P312, No. 149


11.
LaReF2 | PBE-GGA | optimized geometry

a = 4.609 Å, b = 4.609 Å, c = 4.609 Å
α = 60.00°, β = 60.00°, γ = 60.00°
Atoms (fractional coordinates):
La 0.000 0.000 0.000
Re 0.500 0.500 0.500
F 0.250 0.250 0.250
F 0.750 0.750 0.750

E_form (uncorrected), eV/atom: -0.835
Distance to the lowest polymorph of the same formula, meV/atom: 353
D(E_F), states/eV/f.u.: 1.8
Space-group type: Fm-3m, No. 225


12.
In2PRh | PBE-GGA | optimized geometry

a = 4.483 Å, b = 4.483 Å, c = 3.662 Å
α = 90.00°, β = 90.00°, γ = 90.00°
Atoms (fractional coordinates):
In 0.000 0.500 0.000
In 0.500 0.000 0.000
P 0.000 0.000 0.500
Rh 0.500 0.500 0.500

D(E_F), states/eV/f.u.: 1.5
Energy of formation, eV/atom: 0.0780
Space-group type: P4/mmm, No. 123